Material: ScReTcOs
Method: DFT, PBE
State: relaxed

Values from the calculation:
- Space group: No. 216
- DFT formation energy: -105.4 meV/atom

Cell: 4.442 4.442 4.442 Å, 60.00 60.00 60.00°
Element x y z (fractional)
Os  0.750  0.750  0.750
Re  0.500  0.500  0.500
Tc  0.250  0.250  0.250
Sc  0.000  0.000  0.000

***

Material: BaTaRh2
Method: DFT, PBE
State: relaxed

Values from the calculation:
- Space group: No. 8
- DFT formation energy: -77.2 meV/atom

Cell: 4.234 4.234 7.002 Å, 72.68 72.68 60.00°
Element x y z (fractional)
Rh  0.792  0.792  0.625
Rh  0.044  0.044  0.872
Ta  0.424  0.424  0.729
Ba  0.240  0.240  0.274

***

Material: MgTc2Os
Method: DFT, PBE
State: relaxed

Values from the calculation:
- Space group: No. 71
- DFT formation energy: 163.7 meV/atom

Cell: 5.152 5.152 5.152 Å, 145.05 130.38 62.13°
Element x y z (fractional)
Tc  0.004  0.004  0.000
Tc  0.496  0.496  0.000
Mg  0.750  0.250  0.500
Os  0.250  0.750  0.500

***

Material: Cd2AgSe
Method: DFT, PBE
State: relaxed

Values from the calculation:
- Space group: No. 160
- Formation energy from raw total energies: -0.058 eV per atom

Cell: 6.893 6.893 6.893 Å, 34.89 34.89 34.89°
Element x y z (fractional)
Cd  0.242  0.242  0.242
Cd  0.006  0.006  0.006
Se  0.495  0.495  0.495
Ag  0.756  0.756  0.756

***

Material: AcErSO2
Method: DFT, PBE
State: relaxed

Values from the calculation:
- Space group: No. 99
- Formation energy from raw total energies: -3.142 eV per atom

Cell: 4.147 4.147 6.202 Å, 90.00 90.00 90.00°
Element x y z (fractional)
Er  0.000  0.000  0.036
S  0.000  0.000  0.464
O  0.000  0.500  0.911
O  0.500  0.000  0.911
Ac  0.500  0.500  0.677

***

Material: TiCr2Ga
Method: DFT, PBE
State: relaxed

Values from the calculation:
- Space group: No. 122
- DFT formation energy: 587.5 meV/atom

Cell: 6.731 6.731 5.407 Å, 51.51 51.51 90.00°
Element x y z (fractional)
Cr  0.875  0.881  0.750
Cr  0.375  0.369  0.750
Cr  0.631  0.125  0.250
Cr  0.119  0.625  0.250
Ti  0.500  0.500  0.000
Ti  0.250  0.750  0.500
Ga  0.750  0.250  0.500
Ga  0.000  0.000  0.000

***

How do the records compare in total magnetic moment? In the order shown, they have 0.00; 0.00; 0.00; 0.00; 0.00; 0.00 μB/f.u..
How do the records compare in DFT total energy? In the order shown, they have -40.80; -28.79; -32.90; -8.40; -38.43; -55.64 eV per cell.